## CeTcO4F (PBE)

Data for crystalline CeTcO4F at its relaxed geometry.

## Properties
DOS(E_F) in states/eV per atom: 0.55
E_tot in eV/atom: -7.823

POSCAR file:
```
CeTcO4F
1.0
4.906 -3.674 0.000
4.906 3.674 0.000
-2.061 0.000 6.735
Ce Tc O F
2 2 8 2
Direct
0.208 0.208 0.100
0.792 0.792 0.900
0.352 0.352 0.710
0.648 0.648 0.290
0.114 0.478 0.851
0.257 0.257 0.455
0.460 0.460 0.238
0.478 0.114 0.851
0.522 0.886 0.149
0.540 0.540 0.762
0.743 0.743 0.545
0.886 0.522 0.149
0.012 0.012 0.826
0.988 0.988 0.174
```